(1)
Material: KFe3Ge
Method: DFT, PBE
State: optimized geometry

Values from the calculation:
offset from the most stable computed form = 0 kJ/mol of formula units
space-group type = Pm-3m (221)
calculated volume = 21.1 Å³/atom

Cell lengths 4.726, 4.726, 4.726 Å; angles 90.00, 90.00, 90.00 degrees
Sites, in units of the cell vectors:
K 0.000 0.000 0.000
Fe 0.000 0.500 0.500
Fe 0.500 0.000 0.500
Fe 0.500 0.500 0.000
Ge 0.500 0.500 0.500

(2)
Material: K2FeGe
Method: DFT, PBE
State: optimized geometry

Values from the calculation:
total DFT energy (no corrections) = -27.1 eV/cell
space-group type = I-42d (122)
calculated volume = 47.2 Å³/atom

Cell lengths 9.335, 9.335, 9.335 Å; angles 93.50, 93.50, 151.39 degrees
Sites, in units of the cell vectors:
K 0.375 0.141 0.266
K 0.859 0.125 0.234
K 0.875 0.109 0.734
K 0.891 0.625 0.766
Fe 0.000 0.000 0.000
Fe 0.750 0.250 0.500
Ge 0.250 0.750 0.500
Ge 0.500 0.500 0.000